CeP2Pd7Pb2: optimized geometry, PBE-GGA. Values from VASP.

Cell and atoms, written as Quantum ESPRESSO input:
```
&SYSTEM
  ibrav = 0, nat = 12, ntyp = 4
/
ATOMIC_SPECIES
Ce 140.12 Ce.upf
P 30.97 P.upf
Pd 106.42 Pd.upf
Pb 207.20 Pb.upf
CELL_PARAMETERS angstrom
2.9599 -3.4961 0.0000
2.9599 3.4961 0.0000
-0.8907 0.0000 11.4809
ATOMIC_POSITIONS angstrom
Ce 0.0000 0.0000 0.0000
P 1.1346 0.0000 9.2622
P 3.8944 0.0000 2.2187
Pd 1.9630 1.4134 2.2732
Pd 1.6455 0.0000 6.9640
Pd 3.0660 1.4134 9.2077
Pd 2.9599 0.0000 0.0000
Pd 1.9630 -1.4134 2.2732
Pd 3.3835 0.0000 4.5169
Pd 3.0660 -1.4134 9.2077
Pb 0.4650 0.0000 4.3712
Pb 4.5641 0.0000 7.1097
```

Summary:
- SG: C2/m
- ΔE_f: -0.4759 eV per atom
- Total magnetic moment: 0.6 μB per formula unit

---

ZnHgRh3: optimized geometry, PBE-GGA. Values from VASP.

Cell and atoms, written as Quantum ESPRESSO input:
```
&SYSTEM
  ibrav = 0, nat = 5, ntyp = 3
/
ATOMIC_SPECIES
Zn 65.41 Zn.upf
Hg 200.59 Hg.upf
Rh 102.91 Rh.upf
CELL_PARAMETERS angstrom
4.9573 0.0000 0.0000
0.0000 4.9573 0.0000
0.0000 0.0000 4.9573
ATOMIC_POSITIONS angstrom
Zn 0.0000 0.0000 0.0000
Hg 2.4786 2.4786 2.4786
Rh 0.0000 2.4786 2.4786
Rh 2.4786 0.0000 2.4786
Rh 2.4786 2.4786 0.0000
```

Summary:
- Energy above the lowest structure with this stoichiometry: 0.744 eV/atom
- SG: Pm-3m
- ΔE_f: 1.6333 eV per atom
- Total magnetic moment: 2.6 μB per formula unit

---

Tc3HgTe: optimized geometry, PBE-GGA. Values from VASP.

Cell and atoms, written as Quantum ESPRESSO input:
```
&SYSTEM
  ibrav = 0, nat = 5, ntyp = 3
/
ATOMIC_SPECIES
Tc 98.00 Tc.upf
Hg 200.59 Hg.upf
Te 127.60 Te.upf
CELL_PARAMETERS angstrom
4.8494 0.0000 0.0000
0.0000 4.8494 0.0000
0.0000 0.0000 4.8494
ATOMIC_POSITIONS angstrom
Tc 0.0000 0.0000 2.4247
Tc 0.0000 2.4247 0.0000
Tc 2.4247 0.0000 0.0000
Hg 2.4247 2.4247 2.4247
Te 0.0000 0.0000 0.0000
```

Summary:
- Energy above the lowest structure with this stoichiometry: 0.000 eV/atom
- SG: Pm-3m
- ΔE_f (raw): 1.660 eV per atom
- Total magnetic moment: 2.5 μB per formula unit

---

Sm3YHo: optimized geometry, PBE-GGA. Values from VASP.

Cell and atoms, written as Quantum ESPRESSO input:
```
&SYSTEM
  ibrav = 0, nat = 10, ntyp = 3
/
ATOMIC_SPECIES
Sm 150.36 Sm.upf
Y 88.91 Y.upf
Ho 164.93 Ho.upf
CELL_PARAMETERS angstrom
1.8142 -8.4493 0.0000
1.8142 8.4493 0.0000
0.0000 0.0000 11.7014
ATOMIC_POSITIONS angstrom
Sm 1.8142 5.9208 5.8684
Sm 1.8142 5.9208 11.6838
Sm 1.8142 3.1167 8.7761
Sm 1.8142 -3.1167 2.9254
Sm 1.8142 -5.9208 0.0177
Sm 1.8142 -5.9208 5.8330
Y 1.8142 8.2640 2.9254
Y 1.8142 -8.2640 8.7761
Ho 1.8142 2.6298 2.9254
Ho 1.8142 -2.6298 8.7761
```

Summary:
- Energy above the lowest structure with this stoichiometry: 0.284 eV/atom
- SG: Cmcm
- ΔE_f: 0.3005 eV per atom
- Total magnetic moment: 0.0 μB per formula unit

---

Computed calculated density, in the same sequence as the records: 9.51, 7.83, 9.06, 6.53 g/cm³.